1.
8
Lattice="-6.362 -1.955 7.760 6.174 5.898 -5.621 -7.653 0.735 -6.738" Properties=species:S:1:pos:R:3 comment="Cs2ScB, relaxed, DFT PBE" crystal_system=tetragonal space_group="No. 122" ef_mev_per_atom=865 pbc="T T T"
Cs -6.481 1.621 -2.379
Cs -4.317 2.954 -7.003
Cs -3.477 0.738 1.869
Cs -1.407 4.043 -1.686
Sc -0.786 4.303 -5.645
Sc 0.000 0.000 0.000
B -7.054 0.376 1.046
B -0.094 1.972 1.069

=====

2.
9
Lattice="-1.423 3.343 -1.520 -4.622 -0.121 4.060 5.211 1.320 3.126" Properties=species:S:1:pos:R:3 comment="Pt3Rh4W2, relaxed, DFT PBE" crystal_system=monoclinic space_group="No. 12" ef_mev_per_atom=-213 pbc="T T T"
Rh 0.868 2.572 4.842
Rh -1.702 1.970 0.823
Rh -1.350 3.271 3.356
Rh 0.516 1.270 2.310
W -1.586 1.888 5.636
W 0.752 2.654 0.029
Pt 0.000 0.000 0.000
Pt -2.058 0.610 3.269
Pt 1.225 3.931 2.397

=====

3.
6
Lattice="4.032 0.000 -0.224 0.000 3.263 0.000 -1.586 0.000 6.085" Properties=species:S:1:pos:R:3 comment="SrCO, relaxed, DFT PBE" final_energy_ev_per_atom=-6.11 crystal_system=monoclinic space_group="No. 11" pbc="T T T"
C 1.457 0.816 2.570
C 0.990 2.448 3.290
O 1.406 2.448 4.681
O 1.040 0.816 1.180
Sr 3.088 2.448 1.223
Sr -0.642 0.816 4.638

=====

4.
10
Lattice="8.540 0.000 0.000 0.000 8.540 0.000 0.000 0.000 2.782" Properties=species:S:1:pos:R:3 comment="NaCd2Re2, relaxed, DFT PBE" crystal_system=tetragonal space_group="No. 127" ef_mev_per_atom=645 pbc="T T T"
Re 5.109 7.702 1.391
Re 7.702 3.431 1.391
Re 0.839 5.109 1.391
Re 3.431 0.839 1.391
Cd 1.638 2.632 0.000
Cd 2.632 6.903 0.000
Cd 6.903 5.908 0.000
Cd 5.908 1.638 0.000
Na 4.270 4.270 0.000
Na 0.000 0.000 0.000

=====

5.
12
Lattice="6.066 0.001 0.015 -3.031 5.255 0.015 -1.036 -1.793 11.309" Properties=species:S:1:pos:R:3 comment="Pm2SmHo6Sc3, relaxed, DFT PBE" crystal_system=monoclinic space_group="No. 12" ef_mev_per_atom=46 pbc="T T T"
Sc 4.032 -0.020 5.670
Sc 1.000 1.731 5.670
Sc -2.032 3.482 5.670
Ho -0.019 -0.032 8.359
Ho 3.015 1.721 8.375
Ho -1.016 1.742 2.965
Ho 2.016 -0.009 2.965
Ho -0.017 3.472 8.375
Ho 2.018 3.495 2.981
Pm 0.002 3.503 0.015
Pm 3.034 1.752 0.015
Sm 0.000 0.000 0.000

=====

6.
4
Lattice="-1.258 4.081 3.604 -5.214 1.995 0.253 -3.196 -1.091 4.452" Properties=species:S:1:pos:R:3 comment="BaAcSiAu, relaxed, DFT PBE" final_energy_ev_per_atom=-4.20 crystal_system=cubic space_group="No. 216" pbc="T T T"
Si -7.251 3.739 6.231
Ba -4.834 2.492 4.154
Ac 0.000 0.000 0.000
Au -2.417 1.246 2.077

=====

7.
19
Lattice="-0.218 2.364 6.297 -0.922 -5.924 3.056 6.457 -1.141 1.515" Properties=species:S:1:pos:R:3 comment="Sc2Al2Zn15, relaxed, DFT PBE" crystal_system=trigonal space_group="No. 166" ef_mev_per_atom=-158 pbc="T T T"
Zn 4.395 -0.058 2.992
Zn 3.547 -4.180 4.008
Zn -0.704 -3.364 4.058
Zn 1.844 1.282 4.820
Zn 1.358 -4.447 2.580
Zn -0.461 -2.962 1.528
Zn -0.109 1.182 3.148
Zn 1.770 -0.520 6.861
Zn 4.178 -2.618 1.991
Zn 3.228 -0.570 0.758
Zn 0.337 -2.494 6.308
Zn 1.432 -4.507 5.302
Zn 3.886 -0.194 5.566
Zn -0.435 -0.196 5.296
Zn 4.981 -2.206 4.561
Sc 1.781 -1.575 3.641
Sc 3.536 -3.126 7.228
Al 0.537 -0.474 1.097
Al 4.781 -4.226 9.772

=====

8.
5
Lattice="-1.341 4.625 -2.882 -4.435 -2.213 -1.487 -2.562 2.085 4.538" Properties=species:S:1:pos:R:3 comment="Cd2AgSbMo, relaxed, DFT PBE" final_energy_ev_per_atom=-2.68 crystal_system=tetragonal space_group="No. 123" pbc="T T T"
Mo -4.169 2.249 0.085
Cd -1.281 1.042 2.269
Cd -0.671 2.313 -1.441
Ag -2.217 -1.106 -0.743
Sb 0.000 0.000 0.000

=====

9.
5
Lattice="4.526 0.000 0.000 0.000 4.749 0.000 0.000 0.000 4.526" Properties=species:S:1:pos:R:3 comment="ScPd2PtCl, relaxed, DFT PBE" final_energy_ev_per_atom=-4.71 crystal_system=tetragonal space_group="No. 123" pbc="T T T"
Pd 2.263 0.000 0.000
Pd 0.000 0.000 2.263
Sc 2.263 2.374 2.263
Cl 0.000 0.000 0.000
Pt 0.000 2.374 0.000

=====

10.
16
Lattice="-1.149 3.857 -1.977 2.169 -4.512 -4.978 -13.549 -4.821 -1.533" Properties=species:S:1:pos:R:3 comment="BaCuSb2Se4, relaxed, DFT PBE" final_energy_ev_per_atom=-4.13 crystal_system=orthorhombic space_group="No. 63" pbc="T T T"
Se -4.401 -3.229 -3.743
Se 0.000 0.000 0.000
Se -8.780 -5.855 -6.321
Se -0.691 -1.909 -3.323
Se -11.839 -3.567 -5.165
Se -8.128 -2.247 -4.745
Se -3.749 0.379 -2.167
Se -6.775 -2.411 -0.767
Ba -2.748 -1.242 -5.912
Ba -9.781 -4.233 -2.577
Sb -11.683 -6.506 -5.904
Sb -6.264 -4.577 -5.291
Sb -0.846 1.030 -2.584
Sb -6.265 -0.899 -3.198
Cu -2.927 -1.952 -2.107
Cu -9.603 -3.524 -6.381

=====

11.
5
Lattice="-0.060 3.693 -4.253 -5.460 -1.083 -0.863 -1.384 4.114 3.591" Properties=species:S:1:pos:R:3 comment="NaCaGa3, relaxed, DFT PBE" crystal_system=cubic space_group="No. 221" ef_mev_per_atom=501 pbc="T T T"
Ga -2.730 -0.542 -0.432
Ga -0.030 1.846 -2.127
Ga -0.692 2.057 1.795
Ca 0.000 0.000 0.000
Na -3.452 3.361 -0.763

=====

12.
12
Lattice="-3.463 1.054 2.103 -1.739 -5.497 -0.108 5.202 -1.762 9.449" Properties=species:S:1:pos:R:3 comment="GaSnSbAu3, relaxed, DFT PBE" final_energy_ev_per_atom=-3.60 crystal_system=monoclinic space_group="No. 11" pbc="T T T"
Au -3.746 -4.809 2.492
Au -0.793 -1.793 5.844
Au -2.576 -2.254 3.139
Au 0.793 -4.412 5.600
Au 3.747 -1.396 8.952
Au 2.576 -3.951 8.306
Sb -0.151 -4.811 8.414
Sb 0.151 -1.395 3.030
Ga 1.752 -2.576 10.426
Ga -1.752 -3.630 1.019
Sn -2.019 -4.398 5.129
Sn 2.020 -1.808 6.315